GeTe2BrN | GGA-PBE | optimized geometry

The structure in POSCAR format:
```
GeTe2BrN
1.0
5.9112 0.0000 0.0000
0.0000 5.9112 0.0000
0.0000 0.0000 3.6784
Ge Te Br N
1 2 1 1
Direct
0.0000 0.0000 0.0000
0.0000 0.5000 0.5000
0.5000 0.0000 0.5000
0.5000 0.5000 0.5000
0.5000 0.5000 0.0000
```

Computed properties:
- E (eV for the cell shown) = -14.2
- D(E_F) (states/eV per cell) = 2.744
- energy relative to the elements, uncorrected (eV/atom) = 1.3460